Computed, not measured: crystalline La3Tb12In at its relaxed geometry at the PBE level of DFT.

Unit cell a=5.016 b=5.016 c=20.441 alpha=90.00 beta=90.00 gamma=90.00
Positions (direct):
La1 0.000 0.000 0.249
La2 0.000 0.000 0.500
La3 0.000 0.000 0.751
Tb1 0.500 0.500 0.000
Tb2 0.500 0.500 0.242
Tb3 0.500 0.500 0.500
Tb4 0.500 0.500 0.758
Tb5 0.500 0.000 0.118
Tb6 0.500 0.000 0.373
Tb7 0.500 0.000 0.627
Tb8 0.500 0.000 0.882
Tb9 0.000 0.500 0.118
Tb10 0.000 0.500 0.373
Tb11 0.000 0.500 0.627
Tb12 0.000 0.500 0.882
In1 0.000 0.000 0.000

Values from the calculation:
Fermi-level density of states, states/eV per cell: 23.32
Uncorrected energy, eV per cell: -73.6
Formation enthalpy at 0 K, meV per atom: -31.3